First-principles (GGA-PBE) data for a relaxed PmCo2SiC crystal, as listed in the Alexandria database.

The structure belongs to space group Cmcm (No. 63); the cell edges are 3.821, 10.563 and 6.790 Å and the angles 90.00°, 90.00° and 90.00°. Symmetry generates all atoms from Pm at (0.000, 0.054, 0.250), Co at (0.000, 0.337, 0.057), Si at (0.000, 0.226, 0.750) and C at (0.000, 0.500, 0.000).

The formation energy without anion corrections comes out at -0.52 eV per atom. The calculation puts the calculated density at 7.3 g/cm³.

---

First-principles (GGA-PBE) data for a relaxed PmCoSiC crystal, as listed in the Alexandria database.

The structure belongs to space group P4/nmm (No. 129, origin choice 2); the cell edges are 3.798, 3.798 and 8.436 Å and the angles 90.00°, 90.00° and 90.00°. Symmetry generates all atoms from Pm at (0.250, 0.250, 0.155), Co at (0.250, 0.750, 0.500), Si at (0.250, 0.250, 0.646) and C at (0.250, 0.250, 0.862).

The formation energy without anion corrections comes out at -0.45 eV per atom. The calculation puts the calculated density at 6.7 g/cm³.

---

First-principles (GGA-PBE) data for a relaxed Pm2Co2Sn2C crystal, as listed in the Alexandria database.

The structure belongs to space group C2/m (No. 12); the cell edges are 11.036, 4.302 and 7.246 Å and the angles 90.00°, 126.34° and 90.00°. Symmetry generates all atoms from Pm at (0.057, 0.000, 0.327), Co at (0.183, 0.500, 0.745), Sn at (0.170, 0.500, 0.098) and C at (0.000, 0.500, 0.500).

Its energy of formation is -467.4 meV per atom. The calculation puts the calculated density at 7.9 g/cm³.

---

First-principles (GGA-PBE) data for a relaxed PmTh2CoC2 crystal, as listed in the Alexandria database.

The structure belongs to space group Pnnm (No. 58); the cell edges are 5.767, 11.134 and 3.773 Å and the angles 90.00°, 90.00° and 90.00°. Symmetry generates all atoms from Pm at (0.000, 0.000, 0.000), Th at (0.007, 0.300, 0.500), Co at (0.000, 0.500, 0.000) and C at (0.249, 0.383, 0.000).

Its energy of formation is -172.8 meV per atom. The calculation puts the calculated density at 9.5 g/cm³.

---

First-principles (GGA-PBE) data for a relaxed Pm2Zn2Co2C crystal, as listed in the Alexandria database.

The structure belongs to space group C2/m (No. 12); the cell edges are 10.948, 4.061 and 7.166 Å and the angles 90.00°, 129.79° and 90.00°. Symmetry generates all atoms from Pm at (0.053, 0.000, 0.285), Zn at (0.160, 0.500, 0.712), Co at (0.191, 0.500, 0.086) and C at (0.000, 0.500, 0.000).

Its energy of formation is -246.4 meV per atom. The calculation puts the calculated density at 7.5 g/cm³.

---

First-principles (GGA-PBE) data for a relaxed Pr2Co3C2 crystal, as listed in the Alexandria database.

The structure belongs to space group C2/m (No. 12); the cell edges are 9.944, 3.529 and 6.402 Å and the angles 90.00°, 114.70° and 90.00°. Symmetry generates all atoms from Pr at (0.116, 0.000, 0.287), Co at (0.000, 0.500, 0.500), Co at (0.168, 0.500, 0.900) and C at (0.181, 0.000, 0.780).

Its energy of formation is 155.5 meV per atom. The calculation puts the calculated density at 7.9 g/cm³.

---

First-principles (GGA-PBE) data for a relaxed Pr2Co4C crystal, as listed in the Alexandria database.

The structure belongs to space group I4/mmm (No. 139); the cell edges are 3.872, 3.872 and 15.301 Å and the angles 90.00°, 90.00° and 90.00°. Symmetry generates all atoms from Pr at (0.000, 0.000, 0.161), Co at (0.000, 0.000, 0.381), Co at (0.000, 0.500, 0.000) and C at (0.000, 0.000, 0.500).

Its energy of formation is 28.1 meV per atom. The calculation puts the calculated density at 7.7 g/cm³.

---

First-principles (GGA-PBE) data for a relaxed PrCoC crystal, as listed in the Alexandria database.

The structure belongs to space group P-6m2 (No. 187); the cell edges are 3.4497, 3.4497 and 4.3204 Å and the angles 90.00°, 90.00° and 120.00°. Symmetry generates all atoms from Pr at (0.0000, 0.0000, 0.0000), Co at (0.6667, 0.3333, 0.5000) and C at (0.3333, 0.6667, 0.5000).

As for the energy above the most stable polymorph in this dataset: 240 meV/atom. Its energy of formation is 92.9 meV per atom. The calculation puts the calculated density at 7.9 g/cm³.

---

First-principles (GGA-PBE) data for a relaxed Pr2CoC crystal, as listed in the Alexandria database.

The structure belongs to space group C2/c (No. 15); the cell edges are 14.415, 3.652 and 7.491 Å and the angles 90.00°, 105.00° and 90.00°. Symmetry generates all atoms from Pr at (0.125, 0.001, 0.062), Co at (0.000, 0.499, 0.750) and C at (0.000, 0.001, 0.250).

As for the energy above the most stable polymorph in this dataset: 0 meV/atom. Its energy of formation is -138.4 meV per atom. The calculation puts the calculated density at 6.2 g/cm³.

---

First-principles (GGA-PBE) data for a relaxed PrCoC crystal, as listed in the Alexandria database.

The structure belongs to space group P4_2/mmc (No. 131); the cell edges are 3.669, 3.669 and 7.515 Å and the angles 90.00°, 90.00° and 90.00°. Symmetry generates all atoms from Pr at (0.000, 0.000, 0.250), Co at (0.500, 0.500, 0.000) and C at (0.000, 0.500, 0.000).

As for the energy above the most stable polymorph in this dataset: 0 meV/atom. Its energy of formation is -146.7 meV per atom. The calculation puts the calculated density at 7.0 g/cm³.

---

First-principles (GGA-PBE) data for a relaxed PrCo2C crystal, as listed in the Alexandria database.

The structure belongs to space group Cmcm (No. 63); the cell edges are 3.038, 10.844 and 7.033 Å and the angles 90.00°, 90.00° and 90.00°. Symmetry generates all atoms from Pr at (0.000, 0.056, 0.250), Co at (0.000, 0.318, 0.087) and C at (0.000, 0.201, 0.750).

Its energy of formation is 152.3 meV per atom. The calculation puts the calculated density at 7.8 g/cm³.

---

First-principles (GGA-PBE) data for a relaxed PrCoC crystal, as listed in the Alexandria database.

The structure belongs to space group Imma (No. 74); the cell edges are 5.854, 7.703 and 4.778 Å and the angles 90.00°, 90.00° and 90.00°. Symmetry generates all atoms from Pr at (0.000, 0.000, 0.000), Co at (0.000, 0.250, 0.459) and C at (0.250, 0.250, 0.250).

As for the energy above the most stable polymorph in this dataset: 154 meV/atom. Its energy of formation is 7.7 meV per atom. The calculation puts the calculated density at 6.5 g/cm³.